(1)
YHRh3 | GGA-PBE | optimized geometry

```
20
Lattice="-3.425 -17.885 12.752 -1.764 -2.003 -3.283 3.903 5.113 -5.217" Properties=species:S:1:pos:R:3 pbc="T T T"
Rh 0.400 -0.979 -2.343
H -0.222 -6.909 2.913
Rh -3.749 -16.274 9.217
Rh -2.807 -8.410 1.187
H 3.480 4.633 -6.002
Rh 1.520 -6.364 3.065
H -1.065 -7.866 1.339
H -4.767 -19.408 10.254
Y 0.462 -0.846 -5.185
Rh -1.450 -3.372 -2.615
Y -2.320 -11.344 5.440
Rh -0.320 -8.998 5.661
Rh -0.957 -6.017 1.460
Rh -1.687 -13.795 6.595
Rh -0.330 -8.757 2.792
Rh -0.967 -5.776 -1.409
Y 1.033 -3.430 -1.188
Rh 2.462 1.500 -4.965
Rh 0.163 -11.402 6.867
Y -1.749 -13.929 9.437
```

## Properties
Size of the total moment   0.00 μB/f.u.
Energy above the lowest structure with this stoichiometry   217.9 meV per atom
Space-group type   C2/m (12)

=====

(2)
TbUTc | GGA-PBE | optimized geometry

```
12
Lattice="-0.295 -0.355 -7.139 4.855 -3.849 -0.009 -6.441 -3.072 0.419" Properties=species:S:1:pos:R:3 pbc="T T T"
Tb -2.166 -2.193 -4.533
Tb -3.012 -5.717 -5.613
Tc -2.800 -4.585 -2.869
U 3.588 -3.717 -2.318
U -2.013 -3.273 -0.984
Tc -1.891 -0.984 -0.245
U -5.468 -3.559 -4.412
U 0.133 -4.003 -5.745
Tb 1.132 -1.559 -1.116
Tc 0.011 -6.292 -6.484
Tb 0.286 -5.084 -2.196
Tc 0.920 -2.691 -3.861
```

## Properties
Size of the total moment   0.93 μB/f.u.
Energy above the lowest structure with this stoichiometry   62.3 meV per atom
Calculated formation energy   0.0769 eV/atom
Space-group type   P2_1/c (14)

=====

(3)
TbB3Os | GGA-PBE | optimized geometry

```
10
Lattice="-3.039 0.479 2.358 -3.368 -0.308 -4.278 1.132 -6.366 -0.433" Properties=species:S:1:pos:R:3 pbc="T T T"
Tb -0.918 -1.282 -0.923
Os -4.171 -1.979 -1.787
B -3.066 -2.894 -0.177
B -2.615 -1.631 -3.038
B -2.038 -2.799 1.129
B -2.660 -4.565 0.685
Tb -4.357 -4.913 -1.430
B -2.209 -3.302 -2.176
B -3.237 -3.396 -3.481
Os -1.104 -4.216 -0.565
```

## Properties
Size of the total moment   0.00 μB/f.u.
Calculated formation energy   -0.2630 eV/atom
Space-group type   Cmcm (63)

=====

(4)
PaGaBr6 | GGA-PBE | optimized geometry

```
8
Lattice="7.352 0.010 0.012 3.668 6.370 0.016 3.667 2.119 6.654" Properties=species:S:1:pos:R:3 pbc="T T T"
Ga 7.343 4.249 3.341
Br 8.792 2.089 5.095
Pa 0.000 0.000 0.000
Br 8.486 6.582 5.098
Br 5.895 6.409 1.587
Br 6.201 1.916 1.584
Br 4.745 4.071 5.087
Br 9.942 4.427 1.595
```

## Properties
Size of the total moment   0.00 μB/f.u.
Formation energy (no corrections)   -1221 meV/atom
Energy above the lowest structure with this stoichiometry   9.6 meV per atom
Space-group type   R-3 (148)

=====

(5)
LiCa2Os | GGA-PBE | optimized geometry

```
4
Lattice="-2.557 -0.930 -1.241 2.449 -2.061 -3.501 0.306 -5.264 3.313" Properties=species:S:1:pos:R:3 pbc="T T T"
Ca 0.034 -3.000 -1.424
Os 0.178 -5.483 0.139
Ca 0.288 -4.941 3.110
Li 0.159 -2.727 1.717
```

## Properties
Size of the total moment   0.00 μB/f.u.
Calculated formation energy   0.5168 eV/atom
Space-group type   Pmm2 (25)

=====

(6)
Al2AuCl | GGA-PBE | optimized geometry

```
4
Lattice="-2.938 1.127 -0.849 -1.350 -1.670 2.456 0.914 5.656 4.349" Properties=species:S:1:pos:R:3 pbc="T T T"
Al 0.029 0.179 0.138
Cl -1.459 3.971 4.065
Au -1.916 1.142 1.891
Al 0.428 2.649 2.037
```

## Properties
Size of the total moment   0.00 μB/f.u.
Formation energy (no corrections)   -162 meV/atom
Energy above the lowest structure with this stoichiometry   336.9 meV per atom
Space-group type   P4/mmm (123)

=====

Calculated values (eV per cell) of calculated total energy for the records, taken in order: -132.99, -104.21, -74.42, -32.33, -15.08, -13.26.
Calculated values (states/eV per cell) of DOS(E_F) for the records, taken in order: 20.6, 22.4, 2.3, 0.0, 4.3, 1.1.